# MgBr2O

An optimized crystal structure of MgBr2O (GGA-PBE, Alexandria).

a = 7.574 Å, b = 3.982 Å, c = 13.414 Å
α = 90.00°, β = 90.00°, γ = 90.00°
Space group Pnma (No. 62)
One atom of each set of equivalent atoms:
Mg 0.221 0.250 0.020 x4
Br 0.044 0.750 0.114 x4
Br 0.146 0.250 0.386 x4
O 0.091 0.750 0.615 x4

Calculated values
For the energy relative to the lowest polymorph listed for this composition, the calculation gives 0.0000 eV/atom.